[1]
Here is CeHoRh2 after structural relaxation from Alexandria via LeMat-Bulk. Energies are from PBE-GGA.

Energy of formation (meV per atom): -686

Unit cell a=3.9492 b=3.9492 c=7.0133 alpha=73.65 beta=73.65 gamma=60.00
With the nearest neighbours (Å) after each atom.
Atoms (fractional coordinates):
Ce: 0.5000 0.5000 0.5000  6 Rh 2.78
Rh: 0.7534 0.7534 0.7398  3 Ce 2.78, 3 Ho 2.86
Rh: 0.2466 0.2466 0.2602  3 Ce 2.78, 3 Ho 2.86
Ho: 0.0000 0.0000 0.0000  6 Rh 2.86

[2]
Here is CsTiSe after structural relaxation from Alexandria via LeMat-Bulk. Energies are from PBE-GGA.

Formation energy (no corrections) (kJ per mole of atoms): -75.6

Unit cell a=4.0771 b=4.0771 c=12.6698 alpha=90.00 beta=90.00 gamma=90.00
With the nearest neighbours (Å) after each atom.
Atoms (fractional coordinates):
Se: 0.5000 0.0000 0.6300  4 Ti 2.62
Se: 0.0000 0.5000 0.3700  4 Ti 2.62
Cs: 0.0000 0.5000 0.7934  4 Se 3.55
Cs: 0.5000 0.0000 0.2066  4 Se 3.55
Ti: 0.0000 0.0000 0.5000  4 Se 2.62, 4 Ti 2.88
Ti: 0.5000 0.5000 0.5000  4 Se 2.62, 4 Ti 2.88

[3]
Here is La2TaW after structural relaxation from Alexandria via LeMat-Bulk. Energies are from PBE-GGA.

Energy of formation (meV per atom): 685

Unit cell a=4.9780 b=4.9780 c=4.9780 alpha=114.99 beta=114.99 gamma=98.92
With the nearest neighbours (Å) after each atom.
Atoms (fractional coordinates):
Ta: 0.5000 0.5000 0.0000  4 W 3.13, 6 La 3.13-3.24
La: 0.0000 0.0000 0.0000  4 W 3.13, 4 La 3.13, 2 Ta 3.24
La: 0.2500 0.7500 0.5000  4 Ta 3.13, 4 La 3.13, 2 W 3.24
W: 0.7500 0.2500 0.5000  4 Ta 3.13, 6 La 3.13-3.24